A plane-wave DFT calculation with PBE was carried out for an optimized crystal structure of La3Ga3Ni8.

Output
V in A^3/atom: 17.1
M_tot in μB per cell: 0.00
DFT formation energy in eV per atom: -0.405

Cell: 4.1243 8.0485 8.0485 Å, 71.24 75.15 75.15°
Fractional positions:
Ni  0.3937  0.8875  0.3250
Ni  0.1969  0.5050  0.1013
Ni  0.6063  0.6750  0.1125
Ni  0.3937  0.3250  0.8875
La  0.5000  0.5000  0.5000
Ni  0.8031  0.8987  0.4950
La  0.7923  0.2077  0.2077
Ga  0.5000  0.0000  0.0000
Ga  0.0000  0.2333  0.7667
Ni  0.8031  0.4950  0.8987
Ni  0.1969  0.1013  0.5050
Ni  0.6063  0.1125  0.6750
La  0.2077  0.7923  0.7923
Ga  0.0000  0.7667  0.2333

---

A plane-wave DFT calculation with PBE was carried out for an optimized crystal structure of LaGaNi3.

Output
V in A^3/atom: 21.5
M_tot in μB per cell: 0.00
DFT formation energy in eV per atom: 1.130

Cell: 4.7561 4.7561 4.7561 Å, 90.00 90.00 90.00°
Fractional positions:
Ni  0.0000  0.0000  0.5000
Ni  0.5000  0.0000  0.0000
Ni  0.0000  0.5000  0.0000
Ga  0.5000  0.5000  0.5000
La  0.0000  0.0000  0.0000

---

A plane-wave DFT calculation with PBE was carried out for an optimized crystal structure of La2Ga9Ni3.

Output
V in A^3/atom: 17.3
M_tot in μB per cell: 0.00
DFT formation energy in eV per atom: -0.496

Cell: 7.5972 7.5972 10.6531 Å, 89.96 110.93 120.01°
Fractional positions:
Ga  0.2140  0.6956  0.0703
Ga  0.7860  0.3044  0.9297
Ga  0.1261  0.8761  0.2500
Ga  0.8739  0.1239  0.7500
La  0.9996  0.4158  0.2487
Ga  0.8690  0.0169  0.0524
Ga  0.6702  0.7119  0.7517
Ga  0.8748  0.8563  0.5703
Ni  0.1694  0.3366  0.0012
Ga  0.5399  0.0816  0.2517
Ni  0.5000  0.0000  0.0000
Ga  0.7831  0.4730  0.4312
Ga  0.2169  0.5270  0.5688
Ni  0.8354  0.1682  0.4988
Ga  0.4601  0.9184  0.7483
Ga  0.1252  0.1437  0.4297
Ga  0.4645  0.8166  0.4476
Ni  0.1646  0.8318  0.5012
La  0.0004  0.5842  0.7513
Ga  0.4582  0.6481  0.9312
Ga  0.5419  0.3519  0.0688
Ni  0.5000  0.5000  0.5000
Ga  0.3298  0.2881  0.2483
La  0.3328  0.2491  0.7487
Ga  0.5355  0.1834  0.5524
La  0.6672  0.7509  0.2513
Ga  0.1310  0.9831  0.9476
Ni  0.8306  0.6634  0.9988

---

A plane-wave DFT calculation with PBE was carried out for an optimized crystal structure of La2Ga5Ni3.

Output
V in A^3/atom: 18.2
M_tot in μB per cell: 0.00
DFT formation energy in eV per atom: -0.603

Cell: 5.6968 8.5532 8.5532 Å, 73.24 70.55 70.55°
Fractional positions:
Ni  0.3597  0.5389  0.7417
Ga  0.5336  0.2164  0.2164
La  0.3626  0.8611  0.4138
Ga  0.4664  0.7836  0.7836
Ga  0.5938  0.7461  0.0663
Ni  0.8597  0.7417  0.5389
Ga  0.4062  0.2539  0.9337
La  0.8626  0.4138  0.8611
Ni  0.6403  0.4611  0.2583
Ni  0.2500  0.0000  0.0000
Ni  0.7500  0.0000  0.0000
Ga  0.0336  0.2164  0.2164
Ga  0.9062  0.9337  0.2539
Ga  0.2500  0.5000  0.5000
La  0.1374  0.5862  0.1389
Ga  0.0938  0.0663  0.7461
Ni  0.1403  0.2583  0.4611
Ga  0.7500  0.5000  0.5000
La  0.6374  0.1389  0.5862
Ga  0.9664  0.7836  0.7836

---

A plane-wave DFT calculation with PBE was carried out for an optimized crystal structure of LaGa3Ni.

Output
V in A^3/atom: 35.3
M_tot in μB per cell: 0.00
DFT formation energy in eV per atom: 1.336

Cell: 5.6086 5.6086 5.6086 Å, 90.00 90.00 90.00°
Fractional positions:
La  0.0000  0.0000  0.0000
Ni  0.5000  0.5000  0.5000
Ga  0.5000  0.0000  0.0000
Ga  0.0000  0.0000  0.5000
Ga  0.0000  0.5000  0.0000

---

A plane-wave DFT calculation with PBE was carried out for an optimized crystal structure of La2GaNi.

Output
V in A^3/atom: 37.8
M_tot in μB per cell: 0.00
DFT formation energy in eV per atom: 0.144

Cell: 8.0463 8.0463 7.3636 Å, 56.88 56.88 90.00°
Fractional positions:
Ni  0.2500  0.7500  0.5000
La  0.8750  0.8282  0.7500
Ni  0.5000  0.5000  0.0000
La  0.5782  0.1250  0.2500
Ga  0.0000  0.0000  0.0000
La  0.1718  0.6250  0.2500
Ga  0.7500  0.2500  0.5000
La  0.3750  0.4218  0.7500

---

A plane-wave DFT calculation with PBE was carried out for an optimized crystal structure of La3Ga2Ni7.

Output
V in A^3/atom: 16.3
M_tot in μB per cell: 0.00
DFT formation energy in eV per atom: -0.423

Cell: 5.2847 5.2847 8.6598 Å, 72.23 72.23 60.00°
Fractional positions:
Ni  0.5749  0.0924  0.7577
La  0.1426  0.1426  0.5722
La  0.8574  0.8574  0.4278
Ni  0.9076  0.4251  0.2423
Ni  0.5749  0.5749  0.7577
Ni  0.4251  0.9076  0.2423
Ga  0.6702  0.6702  0.9895
Ni  0.0924  0.5749  0.7577
Ni  0.5000  0.5000  0.5000
La  0.0000  0.0000  0.0000
Ni  0.4251  0.4251  0.2423
Ga  0.3298  0.3298  0.0105

---

A plane-wave DFT calculation with PBE was carried out for an optimized crystal structure of La5Ga2Ni.

Output
V in A^3/atom: 26.9
M_tot in μB per cell: 0.00
DFT formation energy in eV per atom: -0.290

Cell: 5.3033 5.3033 9.3451 Å, 73.52 73.52 60.00°
Fractional positions:
La  0.7732  0.7732  0.6803
Ga  0.0948  0.0948  0.7155
Ni  0.0000  0.0000  0.0000
Ga  0.9052  0.9052  0.2845
La  0.2268  0.2268  0.3197
La  0.5000  0.5000  0.5000
La  0.3676  0.3676  0.8972
La  0.6324  0.6324  0.1028

---

A plane-wave DFT calculation with PBE was carried out for an optimized crystal structure of La2GaNi7.

Output
V in A^3/atom: 16.0
M_tot in μB per cell: 0.00
DFT formation energy in eV per atom: -0.254

Cell: 3.9099 3.9099 10.4923 Å, 90.00 90.00 90.00°
Fractional positions:
Ni  0.0000  0.0000  0.0000
Ni  0.5000  0.0000  0.3634
Ni  0.0000  0.5000  0.8621
Ni  0.5000  0.0000  0.1379
Ga  0.5000  0.5000  0.0000
Ni  0.0000  0.5000  0.6366
La  0.5000  0.0000  0.7338
La  0.0000  0.5000  0.2662
Ni  0.5000  0.5000  0.5000
Ni  0.0000  0.0000  0.5000

---

A plane-wave DFT calculation with PBE was carried out for an optimized crystal structure of La3GaNi3.

Output
V in A^3/atom: 25.5
M_tot in μB per cell: 0.00
DFT formation energy in eV per atom: -0.241

Cell: 5.5730 8.5941 8.5941 Å, 120.00 90.00 90.00°
Fractional positions:
La  0.7500  0.9483  0.3033
Ni  0.2500  0.9395  0.3192
Ni  0.2500  0.6808  0.6203
Ni  0.7500  0.6203  0.9395
Ga  0.7500  0.3333  0.6667
La  0.2500  0.6450  0.9483
La  0.2500  0.0517  0.6967
Ni  0.7500  0.0605  0.6808
Ni  0.7500  0.3192  0.3797
Ga  0.2500  0.6667  0.3333
La  0.7500  0.6967  0.6450
Ni  0.2500  0.3797  0.0605
La  0.7500  0.3550  0.0517
La  0.2500  0.3033  0.3550

---

A plane-wave DFT calculation with PBE was carried out for an optimized crystal structure of LaGa8Ni2.

Output
V in A^3/atom: 22.8
M_tot in μB per cell: 0.00
DFT formation energy in eV per atom: -0.082

Cell: 5.6190 5.6190 7.9562 Å, 90.00 90.00 90.00°
Fractional positions:
Ga  0.7511  0.7511  0.8178
Ga  0.7511  0.7511  0.1822
Ga  0.7511  0.2489  0.8178
Ga  0.2489  0.7511  0.8178
Ni  0.0000  0.5000  0.0000
Ni  0.5000  0.0000  0.0000
Ga  0.2489  0.2489  0.1822
Ga  0.2489  0.7511  0.1822
La  0.5000  0.5000  0.5000
Ga  0.2489  0.2489  0.8178
Ga  0.7511  0.2489  0.1822

---

A plane-wave DFT calculation with PBE was carried out for an optimized crystal structure of LaGaNi3.

Output
V in A^3/atom: 18.1
M_tot in μB per cell: 0.00
DFT formation energy in eV per atom: -0.090

Cell: 4.5324 5.4353 7.3307 Å, 90.00 90.00 90.00°
Fractional positions:
Ni  0.0000  0.7499  0.7500
Ni  0.0000  0.7501  0.2500
Ni  0.0000  0.2499  0.7500
La  0.5000  0.5000  0.5000
Ga  0.0000  0.5000  0.0000
La  0.5000  0.0000  0.0000
Ga  0.0000  0.0000  0.5000
Ni  0.5000  0.5000  0.0000
Ni  0.0000  0.2501  0.2500
Ni  0.5000  0.0000  0.5000